Here is YTl2Mo3O12 after structural relaxation from the Alexandria database. Energies are from PBE+U.

total magnetic moment	0.96	μB/f.u.
DFT total energy	-6.728	eV/atom

Lattice parameters (Å, degrees): 7.4997 7.4997 18.9702 90.00 90.00 120.00
Space group R-3m (No. 166, hexagonal axes)
Unique sites:
Y1 0.0000 0.0000 0.0000 x3
Tl1 0.0000 0.0000 0.3337 x6
Mo1 0.0000 0.5000 0.5000 x9
O1 0.0423 0.5211 0.5994 x18
O2 0.0937 0.5469 0.8438 x18